! Zn2SiMoH PBE relaxed; values from VASP
! E_tot = -3.18 eV/atom
! Space group = P4/mmm, No. 123
&SYSTEM
  ibrav = 0, nat = 5, ntyp = 4
/
ATOMIC_SPECIES
H 1.01 H.upf
Mo 95.94 Mo.upf
Si 28.09 Si.upf
Zn 65.41 Zn.upf
ATOMIC_POSITIONS crystal
H 0.5000 0.5000 0.5000
Mo 0.0000 0.5000 0.0000
Si 0.0000 0.0000 0.0000
Zn 0.0000 0.0000 0.5000
Zn 0.5000 0.0000 0.0000
CELL_PARAMETERS angstrom
-2.7346 2.2822 -2.7864
-1.9630 -4.0659 -1.4037
-3.0737 0.3450 3.2991


! Sm2MoH6 PBE relaxed; values from VASP
! E_tot = -4.98 eV/atom
! Space group = Fm-3m, No. 225
&SYSTEM
  ibrav = 0, nat = 9, ntyp = 3
/
ATOMIC_SPECIES
Sm 150.36 Sm.upf
Mo 95.94 Mo.upf
H 1.01 H.upf
ATOMIC_POSITIONS crystal
Sm 0.2500 0.2500 0.2500
Sm 0.7500 0.7500 0.7500
Mo 0.0000 0.0000 0.0000
H 0.2533 0.7467 0.7467
H 0.2533 0.7467 0.2533
H 0.7467 0.2533 0.7467
H 0.7467 0.2533 0.2533
H 0.7467 0.7467 0.2533
H 0.2533 0.2533 0.7467
CELL_PARAMETERS angstrom
-0.3031 5.1137 0.7129
-4.3095 2.5426 -1.3090
-3.0882 1.9198 3.6780


! SmMo2H8 PBE relaxed; values from VASP
! E_tot = -4.94 eV/atom
! Space group = Cm, No. 8
&SYSTEM
  ibrav = 0, nat = 11, ntyp = 3
/
ATOMIC_SPECIES
Sm 150.36 Sm.upf
Mo 95.94 Mo.upf
H 1.01 H.upf
ATOMIC_POSITIONS crystal
Sm 0.0776 0.0306 0.0306
Mo 0.5503 0.6701 0.3276
Mo 0.5503 0.3276 0.6701
H 0.3103 0.9905 0.6037
H 0.3103 0.6037 0.9905
H 0.7391 0.6745 0.6745
H 0.9562 0.2843 0.6608
H 0.9562 0.6608 0.2843
H 0.2929 0.4449 0.4449
H 0.6286 0.2692 0.0101
H 0.6286 0.0101 0.2692
CELL_PARAMETERS angstrom
4.3278 0.0408 -0.0428
-0.0819 4.3500 -2.2482
0.0306 -0.0973 4.8963


! SmMoH3 PBE relaxed; values from VASP
! E_tot = -5.40 eV/atom
! Space group = Pm-3m, No. 221
&SYSTEM
  ibrav = 0, nat = 5, ntyp = 3
/
ATOMIC_SPECIES
H 1.01 H.upf
Mo 95.94 Mo.upf
Sm 150.36 Sm.upf
ATOMIC_POSITIONS crystal
H 0.0000 0.5000 0.0000
H 0.0000 0.0000 0.5000
H 0.5000 0.0000 0.0000
Mo 0.0000 0.0000 0.0000
Sm 0.5000 0.5000 0.5000
CELL_PARAMETERS angstrom
-1.4683 3.4091 -0.4507
-2.8622 -0.9399 2.2149
1.9061 1.2148 2.9786


! SmMo2H7 PBE relaxed; values from VASP
! E_tot = -5.04 eV/atom
! Space group = Cmmm, No. 65
&SYSTEM
  ibrav = 0, nat = 10, ntyp = 3
/
ATOMIC_SPECIES
Sm 150.36 Sm.upf
Mo 95.94 Mo.upf
H 1.01 H.upf
ATOMIC_POSITIONS crystal
Sm 0.0000 0.0000 0.0000
Mo 0.5000 0.3003 0.6006
Mo 0.5000 0.6997 0.3994
H 0.0000 0.3648 0.7297
H 0.0000 0.6352 0.2703
H 0.5000 0.3102 0.2629
H 0.5000 0.6898 0.7371
H 0.5000 0.0472 0.7371
H 0.5000 0.9528 0.2629
H 0.5000 0.5000 0.0000
CELL_PARAMETERS angstrom
3.5366 0.0000 0.0000
0.0000 4.8267 -2.6340
0.0000 -0.2469 5.2870


! SnMo2H PBE relaxed; values from VASP
! Energy above the most stable polymorph in this dataset = 0.909 eV per atom
! Space group = Fm-3m, No. 225
&SYSTEM
  ibrav = 0, nat = 4, ntyp = 3
/
ATOMIC_SPECIES
H 1.01 H.upf
Mo 95.94 Mo.upf
Sn 118.71 Sn.upf
ATOMIC_POSITIONS crystal
H 0.0000 0.0000 0.0000
Mo 0.2500 0.2500 0.2500
Mo 0.7500 0.7500 0.7500
Sn 0.5000 0.5000 0.5000
CELL_PARAMETERS angstrom
0.1186 0.9657 4.3201
-0.8576 4.1222 1.3718
-3.7558 0.8725 2.1777


! Sn2MoH PBE relaxed; values from VASP
! Energy above the most stable polymorph in this dataset = 0.000 eV per atom
! Space group = I-42d, No. 122
&SYSTEM
  ibrav = 0, nat = 8, ntyp = 3
/
ATOMIC_SPECIES
H 1.01 H.upf
Mo 95.94 Mo.upf
Sn 118.71 Sn.upf
ATOMIC_POSITIONS crystal
H 0.5000 0.5000 0.0000
H 0.2500 0.7500 0.5000
Mo 0.0000 0.0000 0.0000
Mo 0.7500 0.2500 0.5000
Sn 0.5436 0.1250 0.2500
Sn 0.2064 0.6250 0.2500
Sn 0.3750 0.4564 0.7500
Sn 0.8750 0.7936 0.7500
CELL_PARAMETERS angstrom
6.4658 0.0000 0.0000
0.0000 6.4658 0.0000
3.2329 3.2329 3.2045


! Sn2MoH2 PBE relaxed; values from VASP
! E_tot = -4.16 eV/atom
! Space group = P4/mbm, No. 127
&SYSTEM
  ibrav = 0, nat = 10, ntyp = 3
/
ATOMIC_SPECIES
H 1.01 H.upf
Mo 95.94 Mo.upf
Sn 118.71 Sn.upf
ATOMIC_POSITIONS crystal
H 0.7086 0.2086 0.5000
H 0.2086 0.2914 0.5000
H 0.2914 0.7914 0.5000
H 0.7914 0.7086 0.5000
Mo 0.0000 0.0000 0.0000
Mo 0.5000 0.5000 0.0000
Sn 0.1530 0.6530 0.0000
Sn 0.6530 0.8470 0.0000
Sn 0.8470 0.3470 0.0000
Sn 0.3470 0.1530 0.0000
CELL_PARAMETERS angstrom
-1.1621 -7.2773 -0.5413
6.1142 -1.2702 3.9504
-1.5867 0.0691 2.4779


> Number 4 is which compound?

SmMoH3


> Number 7 is which compound?

Sn2MoH


> What is the formula in the fourth record?

SmMoH3


> Which formula does entry 2 have?

Sm2MoH6